A relaxed Pm3ScRh8 crystal, computed with PBE-GGA.

abc: 5.3532 5.3532 26.2381
angles: 90.00 90.00 120.00
Last column: nearest neighbours and their distance in Å.
Space group R3m (No. 160, hexagonal axes)
Symmetry-distinct sites (fractional):
Pm 0.0000 0.0000 0.0000 [3 per cell]  12 Rh 3.06-3.14, 3 Sc 3.25, 1 Pm 3.32
Pm 0.0000 0.0000 0.1264 [3 per cell]  12 Rh 3.14-3.18, 4 Pm 3.30-3.32
Pm 0.0000 0.0000 0.5039 [3 per cell]  12 Rh 3.13-3.23, 1 Sc 3.27, 3 Pm 3.30
Sc 0.0000 0.0000 0.6284 [3 per cell]  12 Rh 3.06-3.14, 4 Pm 3.25-3.27
Rh 0.0000 0.0000 0.3140 [3 per cell]  6 Rh 2.64-2.65
Rh 0.0000 0.0000 0.8142 [3 per cell]  6 Rh 2.71
Rh 0.0004 0.5002 0.5658 [9 per cell]  6 Rh 2.64-2.71
Rh 0.1674 0.3349 0.3960 [9 per cell]  6 Rh 2.65-2.71

- E_tot: -7.2892 eV/atom
- ΔH_f (0 K): -673.0 meV per atom